Model A:
First-principles (PBEsol) data for a geometry-optimized TaSb2Br structure, as listed in Alexandria.

Cell and atoms, written as extended XYZ:
```
4
Lattice="5.010 0.000 0.000 2.505 4.339 0.000 2.505 1.446 4.091" Properties=species:S:1:pos:R:3 pbc="T T T"
Sb 2.505 1.446 1.023
Sb 7.515 4.339 3.068
Br 0.000 0.000 0.000
Ta 5.010 2.893 2.045
```

Properties
* DOS(E_F): 1.1823 states/eV per atom

---

Model B:
First-principles (PBEsol) data for a geometry-optimized TaSb2Br structure, as listed in Alexandria.

Cell and atoms, written as extended XYZ:
```
4
Lattice="-2.070 2.686 -0.919 -0.323 -1.390 -3.338 -6.171 -3.392 3.984" Properties=species:S:1:pos:R:3 pbc="T T T"
Sb -5.340 -4.038 0.224
Sb -4.747 -1.053 0.898
Br -2.372 -0.111 -1.699
Ta -2.897 -2.461 -0.669
```

Properties
* DOS(E_F): 0.6817 states/eV per atom

---

Most stable: model B. Least stable: model A.